i) This record from Alexandria describes a relaxed BaTaAl3 crystal. The functional is PBE.

Cell lengths 5.178, 5.178, 5.178 Å; angles 90.00, 90.00, 90.00 degrees
Atoms (fractional coordinates):
Ba: 0.000 0.000 0.000
Ta: 0.500 0.500 0.500
Al: 0.000 0.500 0.500
Al: 0.500 0.000 0.500
Al: 0.500 0.500 0.000

Summary:
The value obtained for the mass density is 4.8 g/cm³. As for the space group: Pm-3m. The magnetization is 0.00 μB/f.u.

ii) This record from Alexandria describes a relaxed BaTaAl3 crystal. The functional is PBE.

Cell lengths 5.333, 5.333, 5.333 Å; angles 90.00, 90.00, 90.00 degrees
Atoms (fractional coordinates):
Ba: 0.000 0.000 0.000
Ta: 0.500 0.500 0.500
Al: 0.000 0.000 0.500
Al: 0.000 0.500 0.000
Al: 0.500 0.000 0.000

Summary:
The value obtained for the mass density is 4.4 g/cm³. As for the space group: Pm-3m. The magnetization is 0.89 μB/f.u.

Which one sits at the top of the stability order? i) does.

i) This record from Alexandria describes a relaxed BaTaAl2 crystal. The functional is PBE.

Cell lengths 10.049, 10.049, 10.049 Å; angles 149.64, 149.64, 43.48 degrees
Atoms (fractional coordinates):
Ba: 0.000 0.000 0.000
Ba: 0.750 0.250 0.500
Ta: 0.250 0.750 0.500
Ta: 0.500 0.500 0.000
Al: 0.373 0.125 0.748
Al: 0.375 0.627 0.752
Al: 0.377 0.625 0.252
Al: 0.875 0.623 0.248

Summary:
The value obtained for the mass density is 4.8 g/cm³. As for the space group: I-42d. The magnetization is 2.40 μB/f.u.

ii) This record from Alexandria describes a relaxed BaTaAl2 crystal. The functional is PBE.

Cell lengths 4.894, 4.894, 7.059 Å; angles 95.73, 95.73, 36.55 degrees
Atoms (fractional coordinates):
Ba: 0.000 0.000 0.000
Ta: 0.500 0.500 0.500
Al: 0.239 0.239 0.662
Al: 0.761 0.761 0.338

Summary:
The value obtained for the mass density is 6.2 g/cm³. As for the space group: C2/m. The magnetization is 0.00 μB/f.u.

Which one sits at the top of the stability order? ii) does.

i) This record from Alexandria describes a relaxed BaTaAl2 crystal. The functional is PBE.

Cell lengths 10.724, 10.724, 10.724 Å; angles 16.84, 16.84, 16.84 degrees
Atoms (fractional coordinates):
Ba: 0.000 0.000 0.000
Ta: 0.500 0.500 0.500
Al: 0.237 0.237 0.237
Al: 0.763 0.763 0.763

Summary:
The value obtained for the mass density is 6.8 g/cm³. As for the space group: R-3m. The magnetization is 0.00 μB/f.u.

ii) This record from Alexandria describes a relaxed BaTaAl2 crystal. The functional is PBE.

Cell lengths 3.125, 4.505, 7.095 Å; angles 90.00, 90.00, 90.00 degrees
Atoms (fractional coordinates):
Ba: 0.000 0.000 0.000
Ta: 0.000 0.500 0.617
Al: 0.500 0.000 0.552
Al: 0.500 0.500 0.305

Summary:
The value obtained for the mass density is 6.2 g/cm³. As for the space group: Pmm2. The magnetization is 0.00 μB/f.u.

iii) This record from Alexandria describes a relaxed BaTaAl2 crystal. The functional is PBE.

Cell lengths 5.085, 5.085, 5.085 Å; angles 60.00, 60.00, 60.00 degrees
Atoms (fractional coordinates):
Ba: 0.000 0.000 0.000
Ta: 0.500 0.500 0.500
Al: 0.250 0.250 0.250
Al: 0.750 0.750 0.750

Summary:
The value obtained for the mass density is 6.6 g/cm³. As for the space group: Fm-3m. The magnetization is 0.79 μB/f.u.

iv) This record from Alexandria describes a relaxed BaTaAl2 crystal. The functional is PBE.

Cell lengths 3.094, 4.018, 7.527 Å; angles 90.00, 90.00, 90.00 degrees
Atoms (fractional coordinates):
Ba: 0.000 0.000 0.000
Ta: 0.000 0.000 0.500
Al: 0.500 0.500 0.324
Al: 0.500 0.500 0.676

Summary:
The value obtained for the mass density is 6.6 g/cm³. As for the space group: Pmmm. The magnetization is 0.01 μB/f.u.

Which one sits at the top of the stability order? iv) does.